# SrTePt | Alexandria via LeMat-Bulk | GGA-PBE | optimized geometry
data_SrTePt
_space_group_name_H-M_alt 'F -4 3 m'
_space_group_IT_number 216
_space_group_name_Hall 'F -4 2 3'
_cell_length_a 6.917
_cell_length_b 6.917
_cell_length_c 6.917
_cell_angle_alpha 90.00
_cell_angle_beta 90.00
_cell_angle_gamma 90.00
loop_
_atom_site_label
_atom_site_type_symbol
_atom_site_fract_x
_atom_site_fract_y
_atom_site_fract_z
_atom_site_occupancy
Sr1 Sr 0.000 0.000 0.000 1
Te1 Te 0.000 0.000 0.500 1
Pt1 Pt 0.250 0.250 0.250 1
# Energy relative to the elements, uncorrected   -0.901 eV/atom
# Distance to the lowest polymorph of the same formula   199 meV per atom
# N(E_F)   0.41 states/eV/cell
# Size of the total moment   0.0 μB per cell

***

# SrTePt | Alexandria via LeMat-Bulk | GGA-PBE | optimized geometry
data_SrTePt
_space_group_name_H-M_alt 'P n m a'
_space_group_IT_number 62
_cell_length_a 6.333
_cell_length_b 4.841
_cell_length_c 11.857
_cell_angle_alpha 90.00
_cell_angle_beta 90.00
_cell_angle_gamma 90.00
loop_
_space_group_symop_operation_xyz
'x,y,z'
'-x,-y,-z'
'-x+1/2,-y,z+1/2'
'x+1/2,y,-z+1/2'
'x+1/2,-y+1/2,-z+1/2'
'-x+1/2,y+1/2,z+1/2'
'-x,y+1/2,-z'
'x,-y+1/2,z'
loop_
_atom_site_label
_atom_site_type_symbol
_atom_site_fract_x
_atom_site_fract_y
_atom_site_fract_z
_atom_site_occupancy
Sr1 Sr 0.240 0.250 0.127 1
Te1 Te 0.181 0.250 0.849 1
Pt1 Pt 0.222 0.250 0.402 1
# Energy relative to the elements, uncorrected   -0.898 eV/atom
# Distance to the lowest polymorph of the same formula   202 meV per atom
# N(E_F)   0.00 states/eV/cell
# Size of the total moment   0.0 μB per cell